Density functional theory data (GGA-PBE) for crystalline KRe2Rh at its relaxed geometry.

Results
- ΔE to the lowest computed polymorph: 559 meV per atom
- Formation energy: 1156 meV per atom
- VASP energy: -0.2639 hartree per atom
- Total magnetization: 0.055 μB per atom
- Calculated volume: 21.43 Å³/atom
- DOS at the Fermi energy: 4.9 states/eV/cell

Lattice parameters (Å, degrees): 3.2711 3.2711 8.0097 90.00 90.00 90.00
Last column: nearest neighbours and their distance in Å.
Element x y z (fractional)
K 0.5000 0.5000 0.7500  4 K 3.27, 8 Re 3.62
Re 0.0000 0.0000 0.0978  1 Re 2.44, 4 Rh 2.61
Re 0.0000 0.0000 0.4022  1 Re 2.44, 4 Rh 2.61
Rh 0.5000 0.5000 0.2500  8 Re 2.61